CeCoGeH2 | Alexandria via LeMat-Bulk | PBE | optimized geometry; Fermi-level density of states = 8.628 states/eV/cell; raw total energy = -53.72 eV for the cell shown; mass density = 7.6 g/cm³; magnetic moment = 2.484 μB per cell
1.0
-1.492 -1.317 -3.364
0.031 -4.091 3.858
-5.313 1.594 1.733
Ce Co Ge H
2 2 2 4
Direct
0.709 0.418 0.750
0.291 0.582 0.250
0.000 0.000 0.000
0.000 0.000 0.500
0.429 0.859 0.750
0.571 0.141 0.250
0.151 0.302 0.942
0.849 0.698 0.058
0.151 0.302 0.558
0.849 0.698 0.442